The following is a PBE-GGA calculation of a geometry-optimized NaAgHPt2 structure, from Alexandria via LeMat-Bulk.

Cell lengths 3.9677, 3.9677, 4.4351 Å; angles 90.00, 90.00, 90.00 degrees
Last column: nearest neighbours and their distance in Å.
Positions (direct):
Na 0.0000 0.0000 0.0000  2 H 2.22
Ag 0.5000 0.5000 0.0000  4 Na 2.81, 8 Pt 2.98
H 0.0000 0.0000 0.5000  4 Pt 1.98, 2 Na 2.22
Pt 0.0000 0.5000 0.5000  2 H 1.98
Pt 0.5000 0.0000 0.5000  2 H 1.98

Computed properties:
volume	70	Å³/cell
polymorph energy (0 for the lowest one)	0	meV per atom

The following is a PBE-GGA calculation of a geometry-optimized Rb2NaAgH structure, from Alexandria via LeMat-Bulk.

Cell lengths 6.6628, 6.6628, 3.9918 Å; angles 90.00, 90.00, 90.00 degrees
Last column: nearest neighbours and their distance in Å.
Positions (direct):
Rb 0.0000 0.5000 0.0000  2 H 3.33
Rb 0.5000 0.0000 0.0000  2 H 3.33
Na 0.0000 0.0000 0.5000  8 Rb 3.88, 2 Na 3.99
Ag 0.5000 0.5000 0.5000  2 H 2.00
H 0.5000 0.5000 0.0000  2 Ag 2.00

Computed properties:
volume	177	Å³/cell
polymorph energy (0 for the lowest one)	75	meV per atom

The following is a PBE-GGA calculation of a geometry-optimized Rb2NaAgH structure, from Alexandria via LeMat-Bulk.

Cell lengths 5.9255, 5.9255, 4.8481 Å; angles 90.00, 90.00, 90.00 degrees
Last column: nearest neighbours and their distance in Å.
Positions (direct):
Rb 0.0000 0.5000 0.0000  2 H 2.96
Rb 0.5000 0.0000 0.0000  2 H 2.96
Na 0.0000 0.0000 0.5000  2 H 2.42
Ag 0.5000 0.5000 0.5000  8 Rb 3.83, 4 Na 4.19
H 0.0000 0.0000 0.0000  2 Na 2.42

Computed properties:
volume	170	Å³/cell
polymorph energy (0 for the lowest one)	0	meV per atom

The following is a PBE-GGA calculation of a geometry-optimized RbNa2AgH structure, from Alexandria via LeMat-Bulk.

Cell lengths 4.8921, 4.8921, 5.7252 Å; angles 90.00, 90.00, 90.00 degrees
Last column: nearest neighbours and their distance in Å.
Positions (direct):
Rb 0.0000 0.0000 0.0000  2 H 2.86
Na 0.0000 0.5000 0.5000  2 H 2.45
Na 0.5000 0.0000 0.5000  2 H 2.45
Ag 0.5000 0.5000 0.0000  4 Rb 3.46, 8 Na 3.77
H 0.0000 0.0000 0.5000  4 Na 2.45

Computed properties:
electronic total energy	-1.91	eV per atom
volume	137	Å³/cell

The following is a PBE-GGA calculation of a geometry-optimized NaAg2H8Rh3 structure, from Alexandria via LeMat-Bulk.

Cell lengths 5.8546, 5.8546, 5.8546 Å; angles 58.01, 58.01, 58.01 degrees
Last column: nearest neighbours and their distance in Å.
Positions (direct):
Na 0.0000 0.0000 0.0000  4 H 2.14-2.15
Ag 0.3716 0.3716 0.3716  6 H 2.16-2.33
Ag 0.7346 0.7346 0.7346  4 H 1.95-2.07
H 0.1152 0.1152 0.5470  2 Rh 1.75
H 0.1152 0.5470 0.1152  2 Rh 1.75
H 0.1472 0.1472 0.1472  3 Rh 1.84
H 0.1579 0.6507 0.6507  2 Rh 1.78
H 0.5470 0.1152 0.1152  2 Rh 1.75
H 0.6004 0.6004 0.6004  3 Rh 1.88, 1 Ag 1.95
H 0.6507 0.1579 0.6507  2 Rh 1.78
H 0.6507 0.6507 0.1579  2 Rh 1.78
Rh 0.3706 0.3706 0.8680  6 H 1.75-1.88
Rh 0.3706 0.8680 0.3706  6 H 1.75-1.88
Rh 0.8680 0.3706 0.3706  6 H 1.75-1.88

Computed properties:
electronic total energy	-4.06	eV per atom
volume	135	Å³/cell

The following is a PBE-GGA calculation of a geometry-optimized Na2AgH6Rh structure, from Alexandria via LeMat-Bulk.

Cell lengths 5.1522, 5.1522, 5.3498 Å; angles 90.00, 90.00, 120.00 degrees
Last column: nearest neighbours and their distance in Å.
Positions (direct):
Na 0.3333 0.6667 0.1600  9 H 2.43-2.58
Na 0.6667 0.3333 0.8400  9 H 2.43-2.58
Ag 0.0000 0.0000 0.5000  6 H 2.18
H 0.1534 0.3067 0.8182  1 Rh 1.68
H 0.1534 0.8466 0.8182  1 Rh 1.68
H 0.3067 0.1534 0.1818  1 Rh 1.68
H 0.6933 0.8466 0.8182  1 Rh 1.68
H 0.8466 0.1534 0.1818  1 Rh 1.68
H 0.8466 0.6933 0.1818  1 Rh 1.68
Rh 0.0000 0.0000 0.0000  6 H 1.68

Computed properties:
electronic total energy	-3.51	eV per atom
volume	123	Å³/cell

The following is a PBE-GGA calculation of a geometry-optimized Na2AgSbH structure, from Alexandria via LeMat-Bulk.

Cell lengths 5.2815, 5.2815, 3.6393 Å; angles 90.00, 90.00, 90.00 degrees
Last column: nearest neighbours and their distance in Å.
Positions (direct):
Na 0.0000 0.5000 0.0000  2 H 2.64
Na 0.5000 0.0000 0.0000  2 H 2.64
Ag 0.0000 0.0000 0.5000  2 H 1.82
Sb 0.5000 0.5000 0.5000  8 Na 3.21
H 0.0000 0.0000 0.0000  2 Ag 1.82

Computed properties:
electronic total energy	-2.74	eV per atom
volume	102	Å³/cell

The following is a PBE-GGA calculation of a geometry-optimized NaAg2SbH structure, from Alexandria via LeMat-Bulk.

Cell lengths 4.3672, 4.3672, 4.5531 Å; angles 90.00, 90.00, 90.00 degrees
Last column: nearest neighbours and their distance in Å.
Positions (direct):
Na 0.0000 0.0000 0.0000  2 H 2.28
Ag 0.0000 0.5000 0.5000  2 H 2.18
Ag 0.5000 0.0000 0.5000  2 H 2.18
Sb 0.5000 0.5000 0.0000  4 Na 3.09, 8 Ag 3.15
H 0.0000 0.0000 0.5000  4 Ag 2.18, 2 Na 2.28

Computed properties:
electronic total energy	-2.84	eV per atom
volume	87	Å³/cell

The following is a PBE-GGA calculation of a geometry-optimized NaSiAgH6 structure, from Alexandria via LeMat-Bulk.

Cell lengths 4.9854, 4.9854, 4.1098 Å; angles 90.04, 90.04, 120.07 degrees
Last column: nearest neighbours and their distance in Å.
Positions (direct):
Na 0.0000 0.0000 0.0000  6 H 2.15
Si 0.3332 0.6668 0.0000  6 H 1.64
Ag 0.6665 0.3335 0.5000  6 H 2.09-2.10
H 0.0583 0.6477 0.7657  1 Si 1.64
H 0.0586 0.4112 0.2337  1 Si 1.64
H 0.3517 0.4110 0.7658  1 Si 1.64
H 0.3523 0.9417 0.2343  1 Si 1.64
H 0.5890 0.6483 0.2342  1 Si 1.64
H 0.5888 0.9414 0.7663  1 Si 1.64

Computed properties:
electronic total energy	-3.17	eV per atom
volume	88	Å³/cell

The following is a PBE-GGA calculation of a geometry-optimized NaSiAgH2 structure, from Alexandria via LeMat-Bulk.

Cell lengths 3.8207, 3.8207, 5.0640 Å; angles 90.00, 90.00, 90.00 degrees
Last column: nearest neighbours and their distance in Å.
Positions (direct):
Na 0.0000 0.0000 0.0000  4 Ag 2.70
Si 0.5000 0.5000 0.5000  4 H 1.91
Ag 0.5000 0.5000 0.0000  2 Si 2.53, 4 Na 2.70
H 0.0000 0.5000 0.5000  2 Si 1.91
H 0.5000 0.0000 0.5000  2 Si 1.91

Computed properties:
electronic total energy	-2.95	eV per atom
volume	74	Å³/cell

The following is a PBE-GGA calculation of a geometry-optimized Na2SiAgH6 structure, from Alexandria via LeMat-Bulk.

Cell lengths 5.3108, 5.3108, 5.3118 Å; angles 119.81, 119.81, 90.01 degrees
Last column: nearest neighbours and their distance in Å.
Positions (direct):
Na 0.2505 0.7495 0.0000  12 H 2.56-2.78
Na 0.7495 0.2505 0.0000  12 H 2.56-2.78
Si 0.0000 0.0000 0.5000  6 H 1.68-1.69
Ag 0.5000 0.5000 0.5000  6 H 2.07-2.10
H 0.2031 0.2031 0.4597  1 Si 1.68
H 0.2241 0.7759 0.5000  1 Si 1.68
H 0.2424 0.2424 0.9446  1 Si 1.69
H 0.7576 0.7576 0.0554  1 Si 1.69
H 0.7759 0.2241 0.5000  1 Si 1.68
H 0.7969 0.7969 0.5403  1 Si 1.68

Computed properties:
electronic total energy	-3.10	eV per atom
volume	107	Å³/cell

The following is a PBE-GGA calculation of a geometry-optimized NaTcAg2H structure, from Alexandria via LeMat-Bulk.

Cell lengths 5.1290, 5.1290, 3.4194 Å; angles 90.00, 90.00, 90.00 degrees
Last column: nearest neighbours and their distance in Å.
Positions (direct):
Na 0.0000 0.0000 0.0000  2 H 1.71
Tc 0.5000 0.5000 0.5000  8 Ag 3.08, 2 Tc 3.42
Ag 0.0000 0.5000 0.0000  2 Na 2.56
Ag 0.5000 0.0000 0.0000  2 Na 2.56
H 0.0000 0.0000 0.5000  2 Na 1.71

Computed properties:
volume	90	Å³/cell
polymorph energy (0 for the lowest one)	407	meV per atom

The following is a PBE-GGA calculation of a geometry-optimized NaTcAg2H structure, from Alexandria via LeMat-Bulk.

Cell lengths 4.2085, 4.2085, 4.3360 Å; angles 90.00, 90.00, 90.00 degrees
Last column: nearest neighbours and their distance in Å.
Positions (direct):
Na 0.0000 0.0000 0.0000  2 H 2.17
Tc 0.5000 0.5000 0.0000  4 Na 2.98, 8 Ag 3.02
Ag 0.0000 0.5000 0.5000  2 H 2.10
Ag 0.5000 0.0000 0.5000  2 H 2.10
H 0.0000 0.0000 0.5000  4 Ag 2.10, 2 Na 2.17

Computed properties:
volume	77	Å³/cell
polymorph energy (0 for the lowest one)	0	meV per atom

The following is a PBE-GGA calculation of a geometry-optimized Na2AgTeH structure, from Alexandria via LeMat-Bulk.

Cell lengths 4.8375, 4.8375, 4.2047 Å; angles 90.00, 90.00, 90.00 degrees
Last column: nearest neighbours and their distance in Å.
Positions (direct):
Na 0.0000 0.5000 0.0000  2 H 2.42
Na 0.5000 0.0000 0.0000  2 H 2.42
Ag 0.0000 0.0000 0.5000  2 H 2.10
Te 0.5000 0.5000 0.5000  8 Na 3.20, 4 Ag 3.42
H 0.0000 0.0000 0.0000  2 Ag 2.10

Computed properties:
electronic total energy	-2.77	eV per atom
volume	98	Å³/cell